[1]
The following is a DFT calculation (PBE) of an optimized crystal structure of ReAg2.

Cell: 5.9217 3.7903 9.2154 Å, 90.00 90.00 90.00°
Closest atoms and distances in Å follow each position.
Space group Pnma (No. 62)
Unique sites:
Re  0.0869  0.2500  0.0583 x4  2 Re 2.41
Ag  0.1030  0.2500  0.4093 x4  7 Ag 2.80-3.11, 4 Re 2.88-3.07
Ag  0.1483  0.2500  0.7458 x4  7 Ag 2.80-3.11, 5 Re 2.90-3.01

Computed properties:
Volume, Å³ per atom: 17.2
Offset from the most stable computed form, kJ/mol of atoms: 14.1
DOS(E_F), states/eV/cell: 8.35
Energy of formation from the pure elements, meV per atom: 563

---

[2]
The following is a DFT calculation (PBE) of an optimized crystal structure of TaTc2Te.

Cell: 3.1365 4.1281 5.3524 Å, 90.00 90.00 90.00°
Closest atoms and distances in Å follow each position.
Space group Pmm2 (No. 25)
Unique sites:
Ta  0.0000  0.0000  0.0000 x1  6 Tc 2.64-2.78
Tc  0.0000  0.0000  0.4926 x1  2 Ta 2.64-2.72, 4 Te 2.79
Tc  0.5000  0.5000  0.1871 x1  2 Te 2.68, 4 Ta 2.78
Te  0.5000  0.5000  0.6873 x1  6 Tc 2.68-2.79

Computed properties:
E_form (uncorrected), meV/atom: 230
Volume, Å³ per atom: 17.3
DOS(E_F), states/eV/cell: 3.14

---

[3]
The following is a DFT calculation (PBE) of an optimized crystal structure of Li2ScSi.

Cell: 3.1455 4.8537 4.6383 Å, 90.00 92.81 90.00°
Closest atoms and distances in Å follow each position.
Space group P2/m (No. 10)
Unique sites:
Li  0.1909  0.0000  0.2720 x2  2 Li 2.48-2.74, 2 Si 2.73
Sc  0.5000  0.5000  0.0000 x1  4 Si 2.74-2.87, 4 Li 2.92
Si  0.0000  0.5000  0.5000 x1  4 Li 2.73, 4 Sc 2.74-2.87

Computed properties:
E_form (uncorrected), meV/atom: -205
Volume, Å³ per atom: 17.7
DOS(E_F), states/eV/cell: 2.16

---

Question: Look up the volume of the second one.
Answer: 17.3 Å³ per atom

---

Question: Among the records above, which one has the highest volume?
Answer: Li2ScSi

---

Question: What is the volume in the third record?
Answer: 17.7 Å³ per atom

---

Copy entry 2 word for word.
The following is a DFT calculation (PBE) of an optimized crystal structure of TaTc2Te.

Cell: 3.1365 4.1281 5.3524 Å, 90.00 90.00 90.00°
Closest atoms and distances in Å follow each position.
Space group Pmm2 (No. 25)
Unique sites:
Ta  0.0000  0.0000  0.0000 x1  6 Tc 2.64-2.78
Tc  0.0000  0.0000  0.4926 x1  2 Ta 2.64-2.72, 4 Te 2.79
Tc  0.5000  0.5000  0.1871 x1  2 Te 2.68, 4 Ta 2.78
Te  0.5000  0.5000  0.6873 x1  6 Tc 2.68-2.79

Computed properties:
E_form (uncorrected), meV/atom: 230
Volume, Å³ per atom: 17.3
DOS(E_F), states/eV/cell: 3.14